{"formula": "DyNpCoO6", "functional": "PBE+U", "state": "optimized geometry", "lattice_angstrom": [[5.6384, 0.0000, 0.0000], [-2.8192, 4.8830, 0.0000], [0.0000, 0.0000, 8.6826]], "species": ["Dy", "Dy", "Np", "Np", "Co", "Co", "O", "O", "O", "O", "O", "O", "O", "O", "O", "O", "O", "O"], "frac_coords": [[0.3333, 0.6667, 0.2500], [0.6667, 0.3333, 0.7500], [0.3333, 0.6667, 0.7500], [0.6667, 0.3333, 0.2500], [0.0000, 0.0000, 0.0000], [0.0000, 0.0000, 0.5000], [0.0317, 0.3507, 0.6277], [0.0317, 0.6810, 0.8723], [0.3190, 0.3507, 0.8723], [0.3190, 0.9683, 0.6277], [0.3507, 0.0317, 0.1277], [0.3507, 0.3190, 0.3723], [0.6493, 0.6810, 0.6277], [0.6493, 0.9683, 0.8723], [0.6810, 0.0317, 0.3723], [0.6810, 0.6493, 0.1277], [0.9683, 0.3190, 0.1277], [0.9683, 0.6493, 0.3723]], "crystal_system": "trigonal", "mass_density_g_cm3": 7.702, "total_energy_ev_per_atom": -8.10}